The following is a DFT calculation (GGA-PBE) of an optimized crystal structure of Th3Pd12Pb.

Structure (POSCAR):
```
Th3Pd12Pb
1.0
4.206 0.000 0.000
0.000 4.206 0.000
0.000 0.000 16.703
Th Pd Pb
3 12 1
Direct
0.000 0.000 0.244
0.000 0.000 0.500
0.000 0.000 0.756
0.500 0.500 0.000
0.500 0.500 0.500
0.000 0.500 0.875
0.500 0.000 0.125
0.500 0.500 0.751
0.500 0.000 0.374
0.500 0.000 0.875
0.500 0.000 0.626
0.500 0.500 0.249
0.000 0.500 0.125
0.000 0.500 0.374
0.000 0.500 0.626
0.000 0.000 0.000
```

## Properties
Space group = P4/mmm
Total magnetic moment = 0.00 μB per cell
Formation enthalpy at 0 K = -0.784 eV per atom

=====

The following is a DFT calculation (GGA-PBE) of an optimized crystal structure of ThPdPb.

Structure (POSCAR):
```
ThPdPb
1.0
3.626 0.000 0.000
0.000 4.862 0.000
0.000 -2.431 4.211
Th Pb Pd
1 1 1
Direct
0.667 0.667 0.333
0.167 0.333 0.667
0.166 0.000 0.000
```

## Properties
Space group = P-6m2
Total magnetic moment = 0.00 μB per cell
Formation enthalpy at 0 K = -0.561 eV per atom

=====

The following is a DFT calculation (GGA-PBE) of an optimized crystal structure of ThZnPdPb.

Structure (POSCAR):
```
ThZnPdPb
1.0
-1.407 -3.042 -3.747
-3.509 -3.511 0.796
-4.560 0.492 -2.059
Th Pb Pd Zn
1 1 1 1
Direct
0.250 0.250 0.250
0.750 0.750 0.750
0.500 0.500 0.500
0.000 0.000 0.000
```

## Properties
Space group = F-43m
Total magnetic moment = 0.00 μB per cell
Formation enthalpy at 0 K = -0.417 eV per atom

=====

The following is a DFT calculation (GGA-PBE) of an optimized crystal structure of TiPd6Pb.

Structure (POSCAR):
```
TiPd6Pb
1.0
-3.064 2.579 0.358
-0.626 -0.193 -3.967
-5.054 -6.157 1.096
Pd Pb Ti
6 1 1
Direct
0.500 0.000 0.267
0.500 0.000 0.733
0.500 0.500 0.500
0.500 0.500 0.000
0.000 0.500 0.733
0.000 0.500 0.267
0.000 0.000 0.000
0.000 0.000 0.500
```

## Properties
Space group = P4/mmm
Total magnetic moment = 0.00 μB per cell
Formation enthalpy at 0 K = -0.464 eV per atom

=====

The following is a DFT calculation (GGA-PBE) of an optimized crystal structure of Ti3PdPb.

Structure (POSCAR):
```
Ti3PdPb
1.0
-0.837 2.384 -4.074
-1.087 -4.124 -2.190
-4.593 0.541 1.261
Ti Pd Pb
3 1 1
Direct
0.000 0.500 0.000
0.000 0.000 0.500
0.500 0.000 0.000
0.000 0.000 0.000
0.500 0.500 0.500
```

## Properties
Energy relative to the lowest polymorph listed for this composition = 0.0 meV per atom
Space group = Pm-3m
Total magnetic moment = 0.00 μB per cell
Formation enthalpy at 0 K = 0.330 eV per atom

=====

The following is a DFT calculation (GGA-PBE) of an optimized crystal structure of TiPd3Pb.

Structure (POSCAR):
```
TiPd3Pb
1.0
4.762 0.000 0.000
0.000 4.762 0.000
0.000 0.000 4.762
Pb Ti Pd
1 1 3
Direct
0.500 0.500 0.500
0.000 0.000 0.000
0.000 0.500 0.000
0.500 0.000 0.000
0.000 0.000 0.500
```

## Properties
Energy relative to the lowest polymorph listed for this composition = 0.0 meV per atom
Space group = Pm-3m
Total magnetic moment = 0.18 μB per cell
Formation enthalpy at 0 K = 0.262 eV per atom

=====

Copy entry 5 word for word.
The following is a DFT calculation (GGA-PBE) of an optimized crystal structure of Ti3PdPb.

Structure (POSCAR):
```
Ti3PdPb
1.0
-0.837 2.384 -4.074
-1.087 -4.124 -2.190
-4.593 0.541 1.261
Ti Pd Pb
3 1 1
Direct
0.000 0.500 0.000
0.000 0.000 0.500
0.500 0.000 0.000
0.000 0.000 0.000
0.500 0.500 0.500
```

## Properties
Energy relative to the lowest polymorph listed for this composition = 0.0 meV per atom
Space group = Pm-3m
Total magnetic moment = 0.00 μB per cell
Formation enthalpy at 0 K = 0.330 eV per atom